This record from the Alexandria database describes crystalline RbMoPO2 at its relaxed geometry. The functional is GGA+U.

CIF file:
```
data_RbMoPO2
_cell_length_a 4.1226
_cell_length_b 4.1226
_cell_length_c 4.8655
_cell_angle_alpha 90.00
_cell_angle_beta 90.00
_cell_angle_gamma 90.00
_space_group_name_H-M_alt 'P 4/m m m'
_space_group_IT_number 123
_space_group_name_Hall '-P 4 2'
loop_
_atom_site_label
_atom_site_type_symbol
_atom_site_fract_x
_atom_site_fract_y
_atom_site_fract_z
_atom_site_occupancy
Rb1 Rb 0.0000 0.0000 0.0000 1
Mo1 Mo 0.5000 0.5000 0.5000 1
P1 P 0.5000 0.5000 0.0000 1
O1 O 0.0000 0.5000 0.5000 1
```

**Excess energy over the best structure of this formula in the dataset**: 0 meV/atom
**Crystal system**: tetragonal
**Calculated volume**: 83 Å³/cell